Entry from the Alexandria database: an optimized crystal structure of Rb2LiP2 (GGA-PBE).

Geometry as POSCAR:
```
Rb2LiP2
1.0
7.2077 0.0000 0.0000
0.0000 7.2077 0.0000
0.0000 0.0000 5.4742
Rb Li P
4 2 4
direct
0.6776 0.8224 0.5000 Rb
0.3224 0.1776 0.5000 Rb
0.1776 0.6776 0.5000 Rb
0.8224 0.3224 0.5000 Rb
0.5000 0.5000 0.0000 Li
0.0000 0.0000 0.0000 Li
0.8931 0.6069 0.0000 P
0.6069 0.1069 0.0000 P
0.1069 0.3931 0.0000 P
0.3931 0.8931 0.0000 P
```

Its total energy is -3.14 eV per atom. As for the size of the total moment: 0.4 μB per formula unit.